# 1
Compound: Be2Sb
Source: the Alexandria database
Functional: PBE
Structure: relaxed

The structure in extended XYZ format:
```
3
Lattice="-2.7870 3.2026 0.7355 -1.9659 -1.2198 3.6349 4.2082 0.2772 -0.7687" Properties=species:S:1:pos:R:3 pbc="T T T"
Sb 0.0000 0.0000 0.0000
Be -3.0824 1.2859 2.8343
Be -1.6706 0.6969 1.5361
```

The calculation puts the mass density at 4.9 Mg/m³. The energy above the most stable polymorph in this dataset is 1.28 eV/f.u.

***

# 2
Compound: BeSb
Source: the Alexandria database
Functional: PBE
Structure: relaxed

The structure in extended XYZ format:
```
4
Lattice="3.8626 -0.0064 -0.0153 -1.9257 3.7234 0.0084 -1.9376 -1.1711 5.8625" Properties=species:S:1:pos:R:3 pbc="T T T"
Sb -0.0046 0.6721 1.3986
Sb 0.0038 1.8738 4.4569
Be -0.0018 -0.4977 3.6061
Be 0.0011 3.0436 2.2494
```

The calculation puts the mass density at 5.2 Mg/m³. The energy above the most stable polymorph in this dataset is 0.00 eV/f.u.

***

# 3
Compound: BeSb
Source: the Alexandria database
Functional: PBE
Structure: relaxed

The structure in extended XYZ format:
```
16
Lattice="-4.0115 -5.9836 2.1481 2.5284 0.3139 5.5957 -5.7856 4.7221 2.3493" Properties=species:S:1:pos:R:3 pbc="T T T"
Be -0.0554 -1.6278 4.3393
Be -6.6812 -0.2549 8.9438
Be -4.9521 -1.7593 3.1813
Be -2.8487 1.7467 3.7220
Be -5.1596 1.5948 3.5123
Be -4.0224 -3.6677 4.1306
Be -5.3151 -0.2203 7.0622
Be -0.0403 0.3979 5.4812
Sb -1.6800 -3.3803 4.8195
Sb -3.6055 3.6619 7.6866
Sb -3.5911 -0.0396 2.1177
Sb -5.6607 -2.1374 5.5626
Sb -4.0410 1.4926 5.8043
Sb -2.7614 -3.4735 7.5141
Sb -6.8725 -0.1725 3.7992
Sb -0.8624 0.2582 3.0688
```

The calculation puts the mass density at 4.8 Mg/m³. The energy above the most stable polymorph in this dataset is 0.21 eV/f.u.

***

# 4
Compound: BeSb3
Source: the Alexandria database
Functional: PBE
Structure: relaxed

The structure in extended XYZ format:
```
4
Lattice="-1.5058 2.0775 -2.7397 -4.0473 -3.4747 -0.4103 -4.3444 0.8245 3.0131" Properties=species:S:1:pos:R:3 pbc="T T T"
Sb -7.5614 -1.1112 0.7420
Sb -4.1959 -1.3251 1.3014
Sb -2.3361 0.5386 -0.8789
Be 0.0000 0.0000 0.0000
```

The calculation puts the mass density at 6.6 Mg/m³. The energy above the most stable polymorph in this dataset is 0.03 eV/f.u.

***

# 5
Compound: BeSb
Source: the Alexandria database
Functional: PBE
Structure: relaxed

The structure in extended XYZ format:
```
2
Lattice="3.3109 -0.0078 0.0000 -1.1737 3.0960 0.0000 0.0000 0.0000 3.6894" Properties=species:S:1:pos:R:3 pbc="T T T"
Sb 1.0686 1.5441 1.8447
Be 0.0000 0.0000 0.0000
```

The calculation puts the mass density at 5.7 Mg/m³. The energy above the most stable polymorph in this dataset is 0.94 eV/f.u.

***

# 6
Compound: Be5Sb3
Source: the Alexandria database
Functional: PBE
Structure: relaxed

The structure in extended XYZ format:
```
16
Lattice="-4.3208 -6.5776 3.1081 8.4604 -0.0678 0.1007 -0.0302 1.7895 3.7451" Properties=species:S:1:pos:R:3 pbc="T T T"
Sb -2.7719 -3.7608 2.9247
Sb -1.5792 -1.0273 3.9284
Sb 5.4052 0.4040 1.0007
Sb 1.4837 -1.9465 2.0922
Sb 2.6257 -2.9094 4.8617
Sb 3.0250 1.3177 2.8451
Be 4.2000 -2.2377 1.1032
Be -0.0755 -3.5129 3.9781
Be -0.0604 -4.4076 2.1056
Be 4.1849 -1.3430 2.9757
Be -0.6532 -0.5355 1.4007
Be -3.6978 -4.2526 5.4524
Be 1.2567 0.4372 0.9513
Be 3.5135 -5.2050 3.6655
Be 0.5959 0.3491 3.2883
Be 7.1735 1.2845 2.8945
```

The calculation puts the mass density at 5.3 Mg/m³. The energy above the most stable polymorph in this dataset is 0.00 eV/f.u.

***

# 7
Compound: BeSb3
Source: the Alexandria database
Functional: PBE
Structure: relaxed

The structure in extended XYZ format:
```
4
Lattice="-2.2154 3.8867 1.0083 0.0226 -1.1395 4.4421 4.0153 2.1509 0.5313" Properties=species:S:1:pos:R:3 pbc="T T T"
Sb 2.0189 0.5057 2.4867
Sb 0.8999 3.0188 0.7698
Sb -1.0964 1.3736 2.7252
Be 0.0000 0.0000 0.0000
```

The calculation puts the mass density at 6.4 Mg/m³. The energy above the most stable polymorph in this dataset is 1.53 eV/f.u.

***

# 8
Compound: Be5Sb
Source: the Alexandria database
Functional: PBE
Structure: relaxed

The structure in extended XYZ format:
```
6
Lattice="-3.8531 -1.8699 1.6827 -3.8384 2.5199 0.3028 -3.5486 -0.8677 -2.7980" Properties=species:S:1:pos:R:3 pbc="T T T"
Be -2.8100 -0.0544 -0.2031
Be -6.9881 -0.1353 -0.5051
Be -5.2605 0.2871 0.8571
Be -5.1122 0.7750 -1.3244
Be -5.1194 -1.3622 -0.6526
Sb 0.0000 0.0000 0.0000
```

The calculation puts the mass density at 4.0 Mg/m³. The energy above the most stable polymorph in this dataset is 1.41 eV/f.u.